Density functional theory data (PBE-GGA) for an optimized crystal structure of SnPdSO.

Cell: 6.4544 6.4544 6.1440 Å, 90.00 90.00 147.22°
Positions (direct):
Sn: 0.1125 0.8875 0.7500
Sn: 0.8875 0.1125 0.2500
Pd: 0.3882 0.6118 0.7500
Pd: 0.6118 0.3882 0.2500
S: 0.2364 0.7636 0.2500
S: 0.7636 0.2364 0.7500
O: 0.0000 0.0000 0.0000
O: 0.0000 0.0000 0.5000

Results
* crystal system: orthorhombic
* calculated total energy: -0.1771 hartree per atom
* offset from the most stable computed form: 418 meV/atom



Density functional theory data (PBE-GGA) for an optimized crystal structure of SnPdSO.

Cell: 3.8221 3.8221 10.5068 Å, 90.00 90.00 90.00°
Positions (direct):
Sn: 0.2500 0.2500 0.1198
Sn: 0.7500 0.7500 0.8802
Pd: 0.2500 0.7500 0.5000
Pd: 0.7500 0.2500 0.5000
S: 0.2500 0.2500 0.6361
S: 0.7500 0.7500 0.3639
O: 0.2500 0.2500 0.9238
O: 0.7500 0.7500 0.0762

Results
* crystal system: tetragonal
* calculated total energy: -0.1836 hartree per atom
* offset from the most stable computed form: 243 meV/atom



Density functional theory data (PBE-GGA) for an optimized crystal structure of SnPdSO.

Cell: 6.0655 6.1317 8.7856 Å, 90.00 90.00 90.00°
Positions (direct):
Sn: 0.1280 0.1081 0.3377
Sn: 0.3720 0.8919 0.8377
Sn: 0.6280 0.3919 0.6623
Sn: 0.8720 0.6081 0.1623
Pd: 0.0144 0.2778 0.7325
Pd: 0.4856 0.7222 0.2325
Pd: 0.5144 0.2222 0.2675
Pd: 0.9856 0.7778 0.7675
S: 0.0975 0.5097 0.9368
S: 0.4025 0.4903 0.4368
S: 0.5975 0.9903 0.0632
S: 0.9025 0.0097 0.5632
O: 0.1150 0.8123 0.2317
O: 0.3850 0.1877 0.7317
O: 0.6150 0.6877 0.7683
O: 0.8850 0.3123 0.2683

Results
* crystal system: orthorhombic
* calculated total energy: -0.1925 hartree per atom
* offset from the most stable computed form: 0 meV/atom



Density functional theory data (PBE-GGA) for an optimized crystal structure of SnPdSO.

Cell: 6.3808 11.4489 7.5660 Å, 90.00 90.00 90.00°
Positions (direct):
Sn: 0.1411 0.2071 0.1032
Sn: 0.1411 0.2929 0.6032
Sn: 0.3589 0.7071 0.1032
Sn: 0.3589 0.7929 0.6032
Sn: 0.6411 0.2071 0.3968
Sn: 0.6411 0.2929 0.8968
Sn: 0.8589 0.7071 0.3968
Sn: 0.8589 0.7929 0.8968
Pd: 0.2158 0.0083 0.9376
Pd: 0.2158 0.4917 0.4376
Pd: 0.2842 0.5083 0.9376
Pd: 0.2842 0.9917 0.4376
Pd: 0.7158 0.0083 0.5624
Pd: 0.7158 0.4917 0.0624
Pd: 0.7842 0.5083 0.5624
Pd: 0.7842 0.9917 0.0624
S: 0.0807 0.0715 0.6687
S: 0.0807 0.4285 0.1687
S: 0.4193 0.5715 0.6687
S: 0.4193 0.9285 0.1687
S: 0.5807 0.0715 0.8313
S: 0.5807 0.4285 0.3313
S: 0.9193 0.5715 0.8313
S: 0.9193 0.9285 0.3313
O: 0.1909 0.6847 0.3425
O: 0.1909 0.8153 0.8425
O: 0.3091 0.1847 0.3425
O: 0.3091 0.3153 0.8425
O: 0.6909 0.6847 0.1575
O: 0.6909 0.8153 0.6575
O: 0.8091 0.1847 0.1575
O: 0.8091 0.3153 0.6575

Results
* crystal system: orthorhombic
* calculated total energy: -0.1917 hartree per atom
* offset from the most stable computed form: 22 meV/atom



Density functional theory data (PBE-GGA) for an optimized crystal structure of SnPdSO.

Cell: 7.5955 7.5955 5.8863 Å, 90.00 90.00 154.73°
Positions (direct):
Sn: 0.1883 0.8117 0.5000
Sn: 0.8117 0.1883 0.0000
Pd: 0.4617 0.5383 0.4546
Pd: 0.5383 0.4617 0.9546
S: 0.1469 0.8531 0.9473
S: 0.8531 0.1469 0.4473
O: 0.3935 0.6065 0.9460
O: 0.6065 0.3935 0.4460

Results
* crystal system: orthorhombic
* calculated total energy: -0.1845 hartree per atom
* offset from the most stable computed form: 217 meV/atom



Density functional theory data (PBE-GGA) for an optimized crystal structure of SnPdSO.

Cell: 4.3099 4.3099 8.2863 Å, 90.00 90.00 90.00°
Positions (direct):
Sn: 0.2500 0.2500 0.1441
Sn: 0.7500 0.7500 0.8559
Pd: 0.2500 0.2500 0.6158
Pd: 0.7500 0.7500 0.3842
S: 0.2500 0.7500 0.5000
S: 0.7500 0.2500 0.5000
O: 0.2500 0.2500 0.9033
O: 0.7500 0.7500 0.0967

Results
* crystal system: tetragonal
* calculated total energy: -0.1800 hartree per atom
* offset from the most stable computed form: 339 meV/atom



Density functional theory data (PBE-GGA) for an optimized crystal structure of SnPdSO.

Cell: 4.5814 4.5814 7.2636 Å, 90.00 90.00 90.00°
Positions (direct):
Sn: 0.2500 0.7500 0.0000
Sn: 0.7500 0.2500 0.0000
Pd: 0.2500 0.2500 0.1985
Pd: 0.7500 0.7500 0.8015
S: 0.2500 0.2500 0.7157
S: 0.7500 0.7500 0.2843
O: 0.2500 0.2500 0.5075
O: 0.7500 0.7500 0.4925

Results
* crystal system: tetragonal
* calculated total energy: -0.1760 hartree per atom
* offset from the most stable computed form: 450 meV/atom



Density functional theory data (PBE-GGA) for an optimized crystal structure of SnPdSO.

Cell: 7.7803 7.7803 4.8461 Å, 90.00 90.00 150.80°
Positions (direct):
Sn: 0.0865 0.9135 0.5000
Sn: 0.9135 0.0865 0.0000
Pd: 0.3219 0.6781 0.7277
Pd: 0.6781 0.3219 0.2277
S: 0.3080 0.6920 0.2189
S: 0.6920 0.3080 0.7189
O: 0.0429 0.9571 0.0915
O: 0.9571 0.0429 0.5915

Results
* crystal system: orthorhombic
* calculated total energy: -0.1845 hartree per atom
* offset from the most stable computed form: 218 meV/atom